PBE Nb3SnB2, optimized geometry; ρ = 7.7 g/cm³; SG = P6_3/mmc, No. 194; E_tot = -8.448 eV/atom
1.0
-0.8750 3.0334 0.9404
-2.1942 -1.9638 -1.4766
-5.4187 -6.9070 17.2380
B Nb Sn
4 6 2
Cartesian
-2.1308 -0.7778 0.5263
-4.0875 -3.2719 6.7508
-4.4004 -2.5655 9.9509
-6.3570 -5.0596 16.1755
0.0000 0.0000 0.0000
-2.0273 0.4593 2.4017
-3.3114 -1.1775 6.4867
-2.7093 -3.4535 8.6190
-5.1764 -4.6599 10.2151
-6.4605 -6.2967 14.3001
-1.3547 -1.7268 4.3095
-4.0640 -5.1803 12.9285